(1)
PBE Pm2RhPb2, relaxed; energy above the most stable polymorph in this dataset = 59.0 meV per atom; calculated density = 9.67 Mg/m³; calculated formation energy = -2.61 eV per formula unit; symmetry = No. 141
1.0
-1.2372 0.0806 -4.5627
4.5617 -0.1104 -1.2389
-1.9972 -12.3824 2.7725
Rh Pm Pb
2 4 4
Cartesian
1.6622 -0.0149 -2.9008
2.1133 -6.2539 -0.6836
-0.6616 -1.5489 -2.2978
1.4518 -7.8028 -2.9814
-0.1245 -4.6094 -0.0477
-0.9106 -10.7678 -2.3932
-0.2182 -8.0742 -0.0835
1.9965 -10.5770 -0.7283
2.2301 -1.9308 -0.6388
1.5454 -4.3380 -2.9455

(2)
PBE KZrCuSe4, relaxed; calculated density = 4.85 Mg/m³; symmetry = No. 11; E_form (uncorrected) = -856 meV per atom
1.0
-3.6555 5.3508 2.4302
-3.9515 -0.9568 -3.8371
-2.6961 -7.7698 4.7139
Se K Zr Cu
8 2 2 2
Cartesian
-6.3759 2.3980 1.9791
-5.8218 -6.2325 -0.5120
-6.1524 -2.9524 0.9633
-4.1507 -0.4234 2.3438
-4.4812 2.8567 3.8190
-5.1198 0.5275 -0.9678
-5.1832 -3.9032 4.2748
-3.9271 -5.7737 1.3279
-8.3280 -4.0328 3.4731
-1.9751 0.6570 -0.1661
-3.4964 -3.1295 2.3448
-6.8066 -0.2462 0.9622
-4.8591 -1.7695 -0.6635
-5.4439 -1.6062 3.9705

(3)
PBE ZrPaBi, relaxed; energy above the most stable polymorph in this dataset = 0.0 meV per atom; calculated density = 11.38 Mg/m³; calculated formation energy = -0.32 eV per formula unit; symmetry = No. 2
1.0
5.8170 0.8773 -0.5316
1.5966 5.4313 -1.5896
-0.3746 -1.5812 5.5915
Pa Bi Zr
2 2 2
Cartesian
1.7711 3.9382 -1.0087
5.2118 4.3490 -0.3268
1.5032 1.4114 1.4261
3.5086 -0.1367 4.4193
4.4299 2.1854 2.0730
0.5819 -0.9107 3.7724

no.,DOS(E_F) (states/eV/atom)
1,0.849
2,0.682
3,1.553